#A
Computed, not measured: a relaxed structure of CrHg3P at the PBE level of DFT.

Unit cell a=5.1023 b=5.1023 c=5.1023 alpha=90.00 beta=90.00 gamma=90.00
Closest atoms and distances in Å follow each position.
Space group Pm-3m (No. 221)
Asymmetric unit:
1 Cr 0.0000 0.0000 0.0000 (multiplicity 1)  6 Hg 2.55
2 Hg 0.0000 0.0000 0.5000 (multiplicity 3)  2 Cr 2.55
3 P 0.5000 0.5000 0.5000 (multiplicity 1)  12 Hg 3.61

Properties
Calculated volume   26.6 Å³/atom
Fermi-level density of states   2.1090 states/eV/atom


#B
Computed, not measured: a relaxed structure of CrHg3P at the PBE level of DFT.

Unit cell a=5.1327 b=5.1327 c=5.1327 alpha=90.00 beta=90.00 gamma=90.00
Closest atoms and distances in Å follow each position.
Space group Pm-3m (No. 221)
Asymmetric unit:
1 Cr 0.0000 0.0000 0.0000 (multiplicity 1)  12 Hg 3.63
2 Hg 0.0000 0.5000 0.5000 (multiplicity 3)  2 P 2.57
3 P 0.5000 0.5000 0.5000 (multiplicity 1)  6 Hg 2.57

Properties
Calculated volume   27.0 Å³/atom
Fermi-level density of states   0.4116 states/eV/atom


Relative energies in eV/atom: #A 0.529; #B 0.000